No. 1
Computed, not measured: a relaxed Tb3Mg3InGa2 crystal at the PBE level of DFT.

extended XYZ file:
```
9
Lattice="4.5651 0.0000 0.0000 0.0000 6.3649 3.6729 0.0000 -6.3649 3.6729" Properties=species:S:1:pos:R:3 pbc="T T T"
Ga 2.2825 2.1165 3.6712
Ga 2.2825 -2.1165 3.6712
In 0.0000 0.0000 0.0008
Mg 2.2825 4.7751 2.7635
Mg 2.2825 0.0000 1.8292
Mg 2.2825 -4.7751 2.7635
Tb 0.0000 3.5785 5.2779
Tb 0.0000 0.0000 4.1281
Tb 0.0000 -3.5785 5.2779
```

Properties
E_tot (eV/f.u.): -31.53
Mass density (g/cm³): 6.25
Size of the total moment (μB/cell): 0.02

=====

No. 2
Computed, not measured: a relaxed TbTm2Mg3InGa2 crystal at the PBE level of DFT.

extended XYZ file:
```
9
Lattice="4.5345 0.0000 0.0000 0.0000 6.3247 3.6284 0.0000 -6.3247 3.6284" Properties=species:S:1:pos:R:3 pbc="T T T"
Ga 2.2673 2.1260 3.6258
Ga 2.2673 -2.1260 3.6258
In 0.0000 0.0000 0.0204
Mg 2.2673 4.7400 2.7223
Mg 2.2673 0.0000 1.8120
Mg 2.2673 -4.7400 2.7223
Tb 0.0000 0.0000 4.0725
Tm 0.0000 3.5555 5.2130
Tm 0.0000 -3.5555 5.2130
```

Properties
E_tot (eV/f.u.): -31.03
Mass density (g/cm³): 6.57
Size of the total moment (μB/cell): 0.00

=====

Copy entry 1 word for word.
Computed, not measured: a relaxed Tb3Mg3InGa2 crystal at the PBE level of DFT.

extended XYZ file:
```
9
Lattice="4.5651 0.0000 0.0000 0.0000 6.3649 3.6729 0.0000 -6.3649 3.6729" Properties=species:S:1:pos:R:3 pbc="T T T"
Ga 2.2825 2.1165 3.6712
Ga 2.2825 -2.1165 3.6712
In 0.0000 0.0000 0.0008
Mg 2.2825 4.7751 2.7635
Mg 2.2825 0.0000 1.8292
Mg 2.2825 -4.7751 2.7635
Tb 0.0000 3.5785 5.2779
Tb 0.0000 0.0000 4.1281
Tb 0.0000 -3.5785 5.2779
```

Properties
E_tot (eV/f.u.): -31.53
Mass density (g/cm³): 6.25
Size of the total moment (μB/cell): 0.02